No. 1
A relaxed CsLi4Pu3Br12 crystal, computed with PBE-GGA.

## Properties
Total energy (eV per atom): -5.0873

Unit cell a=9.716 b=9.716 c=9.716 alpha=107.37 beta=107.37 gamma=107.37
Element x y z (fractional)
1 Br 0.907 0.500 0.093
2 Br 0.658 0.500 0.342
3 Br 0.500 0.093 0.907
4 Br 0.042 0.648 0.768
5 Br 0.232 0.352 0.958
6 Br 0.768 0.042 0.648
7 Br 0.093 0.907 0.500
8 Br 0.958 0.232 0.352
9 Br 0.648 0.768 0.042
10 Br 0.342 0.658 0.500
11 Br 0.500 0.342 0.658
12 Br 0.352 0.958 0.232
13 Pu 0.562 0.438 0.000
14 Pu 0.438 0.000 0.562
15 Pu 0.000 0.562 0.438
16 Li 0.500 0.500 0.500
17 Li 0.068 0.500 0.932
18 Li 0.500 0.932 0.068
19 Li 0.932 0.068 0.500
20 Cs 0.000 0.000 0.000

***

No. 2
A relaxed Cs4LiPu3Br12 crystal, computed with PBE-GGA.

## Properties
Total energy (eV per atom): -5.0543

Unit cell a=10.071 b=10.071 c=10.071 alpha=109.47 beta=109.47 gamma=109.47
Element x y z (fractional)
1 Br 0.250 0.750 0.500
2 Br 0.248 0.000 0.248
3 Br 0.752 0.752 0.000
4 Br 0.500 0.250 0.750
5 Br 0.750 0.250 0.500
6 Br 0.000 0.752 0.752
7 Br 0.250 0.500 0.750
8 Br 0.500 0.750 0.250
9 Br 0.248 0.248 0.000
10 Br 0.750 0.500 0.250
11 Br 0.000 0.248 0.248
12 Br 0.752 0.000 0.752
13 Pu 0.000 0.500 0.500
14 Pu 0.500 0.500 0.000
15 Pu 0.500 0.000 0.500
16 Li 0.000 0.000 0.000
17 Cs 0.500 0.500 0.500
18 Cs 0.000 0.000 0.500
19 Cs 0.000 0.500 0.000
20 Cs 0.500 0.000 0.000

***

No. 3
A relaxed Cs2LiPuBr6 crystal, computed with PBE-GGA.

## Properties
Total energy (eV per atom): -4.4668

Unit cell a=6.928 b=7.922 c=7.922 alpha=120.00 beta=90.00 gamma=90.00
Element x y z (fractional)
1 Pu 0.500 0.000 0.000
2 Li 0.000 0.000 0.000
3 Br 0.758 0.163 0.837
4 Br 0.242 0.326 0.163
5 Br 0.242 0.837 0.163
6 Br 0.758 0.163 0.326
7 Br 0.242 0.837 0.674
8 Br 0.758 0.674 0.837
9 Cs 0.230 0.333 0.667
10 Cs 0.770 0.667 0.333

***

No. 4
A relaxed Cs3Li2PuBr6 crystal, computed with PBE-GGA.

## Properties
Total energy (eV per atom): -3.9789

Unit cell a=8.110 b=8.110 c=9.486 alpha=90.00 beta=90.00 gamma=120.00
Element x y z (fractional)
1 Cs 0.333 0.667 0.649
2 Cs 0.000 0.000 0.000
3 Cs 0.667 0.333 0.351
4 Br 0.168 0.337 0.308
5 Br 0.832 0.663 0.692
6 Br 0.663 0.832 0.308
7 Br 0.168 0.832 0.308
8 Br 0.832 0.168 0.692
9 Br 0.337 0.168 0.692
10 Li 0.667 0.333 0.788
11 Li 0.333 0.667 0.212
12 Pu 0.000 0.000 0.500